Entry from the Alexandria database: Y2InSb2 after structural relaxation (PBE).

Properties
- formation energy without anion corrections (kJ/mol of formula units) = -354
- calculated volume (Å³ per cell) = 283
- polymorph energy (0 for the lowest one) (eV/atom) = 0.000

abc: 8.3651 8.3651 4.0497
angles: 90.00 90.00 90.00
With the nearest neighbours (Å) after each atom.
Space group P4/mbm (No. 127)
Inequivalent atoms, fractional coordinates:
Y 0.1548 0.3452 0.0000 [4 per cell]  6 Sb 3.10-3.24
In 0.0000 0.0000 0.5000 [2 per cell]  4 Sb 3.20
Sb 0.1469 0.6469 0.5000 [4 per cell]  6 Y 3.10-3.24, 2 In 3.20